Here is an optimized crystal structure of Er12Au3C5 from Alexandria. Energies are from PBE.

Summary:
* total magnetization: 0.000 μB per cell
* calculated formation energy: -0.32 eV/atom

a = 13.411 Å, b = 13.411 Å, c = 13.411 Å
α = 109.47°, β = 109.47°, γ = 109.47°
Fractional positions:
Er (0.904, 0.818, 0.521)
Au (0.375, 0.750, 0.625)
Au (0.875, 0.125, 0.250)
Er (0.617, 0.021, 0.203)
Er (0.586, 0.703, 0.682)
Au (0.375, 0.625, 0.250)
C (0.000, 0.500, 0.000)
Er (0.818, 0.904, 0.021)
Er (0.979, 0.383, 0.297)
C (0.000, 0.000, 0.000)
Er (0.086, 0.904, 0.383)
C (0.125, 0.375, 0.250)
Er (0.682, 0.203, 0.586)
Er (0.883, 0.297, 0.479)
Er (0.117, 0.703, 0.521)
Au (0.250, 0.625, 0.875)
C (0.125, 0.750, 0.375)
Er (0.521, 0.203, 0.117)
Er (0.883, 0.586, 0.904)
Er (0.021, 0.404, 0.818)
Er (0.617, 0.596, 0.914)
Er (0.297, 0.414, 0.818)
Er (0.318, 0.797, 0.414)
Er (0.096, 0.914, 0.117)
Er (0.383, 0.979, 0.797)
C (0.500, 0.000, 0.000)
Er (0.797, 0.479, 0.383)
C (0.500, 0.500, 0.500)
C (0.250, 0.375, 0.625)
C (0.625, 0.875, 0.250)
Er (0.404, 0.383, 0.586)
Er (0.404, 0.021, 0.318)
C (0.625, 0.750, 0.875)
Er (0.117, 0.414, 0.096)
C (0.000, 0.000, 0.500)
Au (0.125, 0.875, 0.750)
Er (0.479, 0.682, 0.096)
Au (0.875, 0.750, 0.125)
Er (0.096, 0.182, 0.479)
C (0.750, 0.625, 0.375)
C (0.500, 0.000, 0.500)
Er (0.086, 0.182, 0.203)
C (0.375, 0.250, 0.125)
Er (0.797, 0.318, 0.914)
Er (0.203, 0.521, 0.617)
Er (0.703, 0.117, 0.021)
Er (0.182, 0.096, 0.979)
C (0.750, 0.125, 0.875)
Au (0.625, 0.375, 0.750)
Er (0.182, 0.086, 0.703)
Er (0.682, 0.479, 0.596)
C (0.875, 0.250, 0.625)
Au (0.750, 0.875, 0.625)
Au (0.625, 0.250, 0.375)
Er (0.414, 0.297, 0.318)
Au (0.750, 0.375, 0.125)
Er (0.479, 0.797, 0.883)
Er (0.914, 0.096, 0.617)
Er (0.521, 0.318, 0.904)
Er (0.904, 0.086, 0.883)
Er (0.979, 0.596, 0.182)
Au (0.125, 0.250, 0.875)
Er (0.414, 0.117, 0.596)
Er (0.021, 0.617, 0.703)
Er (0.818, 0.914, 0.297)
Er (0.703, 0.586, 0.182)
Er (0.203, 0.682, 0.086)
Er (0.596, 0.617, 0.414)
C (0.500, 0.500, 0.000)
Er (0.383, 0.404, 0.086)
Er (0.318, 0.521, 0.404)
C (0.875, 0.625, 0.750)
Er (0.586, 0.883, 0.404)
C (0.000, 0.500, 0.500)
Au (0.250, 0.125, 0.375)
C (0.250, 0.875, 0.125)
Er (0.914, 0.818, 0.797)
Er (0.596, 0.979, 0.682)
C (0.375, 0.125, 0.750)
Er (0.297, 0.883, 0.979)